[1]
Compound: Be2MoOs
Source: the Alexandria database
Functional: PBE-GGA
Structure: relaxed

Output
The total moment is 0.000 μB per formula unit. The value obtained for the offset from the most stable computed form is 0.151 eV/atom.

Cell and atoms, written as CIF:
```
data_Be2MoOs
_space_group_name_H-M_alt 'P 4 m m'
_space_group_IT_number 99
_cell_length_a 2.800
_cell_length_b 2.800
_cell_length_c 6.045
_cell_angle_alpha 90.00
_cell_angle_beta 90.00
_cell_angle_gamma 90.00
loop_
_space_group_symop_operation_xyz
'x,y,z'
'-y,x,z'
'-x,-y,z'
'y,-x,z'
'-x,y,z'
'y,x,z'
'x,-y,z'
'-y,-x,z'
loop_
_atom_site_label
_atom_site_type_symbol
_atom_site_fract_x
_atom_site_fract_y
_atom_site_fract_z
_atom_site_occupancy
Be1 Be 0.000 0.000 0.000 1
Be2 Be 0.500 0.500 0.185 1
Mo1 Mo 0.000 0.000 0.469 1
Os1 Os 0.500 0.500 0.770 1
```

***

[2]
Compound: Be2MoOs
Source: the Alexandria database
Functional: PBE-GGA
Structure: relaxed

Output
The total moment is 0.000 μB per formula unit. The value obtained for the offset from the most stable computed form is 0.303 eV/atom.

Cell and atoms, written as CIF:
```
data_Be2MoOs
_space_group_name_H-M_alt 'I m m m'
_space_group_IT_number 71
_space_group_name_Hall '-I 2 2'
_cell_length_a 2.977
_cell_length_b 4.289
_cell_length_c 7.763
_cell_angle_alpha 90.00
_cell_angle_beta 90.00
_cell_angle_gamma 90.00
loop_
_atom_site_label
_atom_site_type_symbol
_atom_site_fract_x
_atom_site_fract_y
_atom_site_fract_z
_atom_site_occupancy
Be1 Be 0.000 0.000 0.241 1
Mo1 Mo 0.000 0.500 0.000 1
Os1 Os 0.000 0.500 0.500 1
```

***

[3]
Compound: Be2MoOs
Source: the Alexandria database
Functional: PBE-GGA
Structure: relaxed

Output
The total moment is 0.000 μB per formula unit. The value obtained for the offset from the most stable computed form is 0.378 eV/atom.

Cell and atoms, written as CIF:
```
data_Be2MoOs
_space_group_name_H-M_alt 'R -3 m'
_space_group_IT_number 166
_space_group_name_Hall '-R 3 2"'
_cell_length_a 2.7010
_cell_length_b 2.7010
_cell_length_c 23.6725
_cell_angle_alpha 90.00
_cell_angle_beta 90.00
_cell_angle_gamma 120.00
loop_
_atom_site_label
_atom_site_type_symbol
_atom_site_fract_x
_atom_site_fract_y
_atom_site_fract_z
_atom_site_occupancy
Be1 Be 0.0000 0.0000 0.2450 1
Mo1 Mo 0.0000 0.0000 0.0000 1
Os1 Os 0.0000 0.0000 0.5000 1
```

***

Density of states at the Fermi level (states/eV/f.u.)
2.4 2.4 2.5
Calculated formation energy (eV per atom)
-0.02 0.14 0.21
VASP energy (eV/atom)
-7.3934 -7.2411 -7.1659